GGA-PBE PmHg2IrO6, optimized geometry; E_tot = -55.7 eV per cell; uncorrected formation energy = -1.17 eV per atom; space-group type = No. 148
1.0
2.892 1.670 4.907
-2.892 1.670 4.907
0.000 -3.339 4.907
Pm Hg Ir O
1 2 1 6
Direct
0.000 0.000 0.000
0.242 0.242 0.242
0.758 0.758 0.758
0.500 0.500 0.500
0.169 0.380 0.722
0.278 0.831 0.620
0.380 0.722 0.169
0.620 0.278 0.831
0.722 0.169 0.380
0.831 0.620 0.278